Record 1
The following is a DFT calculation (PBE-GGA) of a relaxed structure of YAlPb3.

Cell: 5.860 5.860 5.860 Å, 90.00 90.00 90.00°
Space group Pm-3m (No. 221)
Inequivalent atoms, fractional coordinates:
Y (0.000, 0.000, 0.000) (multiplicity 1)
Al (0.500, 0.500, 0.500) (multiplicity 1)
Pb (0.000, 0.000, 0.500) (multiplicity 3)

M_tot	0.00	μB/f.u.
calculated total energy	-18.3	eV/cell
formation enthalpy at 0 K	0.61	eV per atom

***

Record 2
The following is a DFT calculation (PBE-GGA) of a relaxed structure of Hf2ScAl6.

Cell: 4.214 6.450 13.244 Å, 90.00 90.00 90.00°
Space group Immm (No. 71)
Inequivalent atoms, fractional coordinates:
Hf (0.000, 0.000, 0.115) (multiplicity 4)
Sc (0.000, 0.500, 0.000) (multiplicity 2)
Al (0.000, 0.212, 0.308) (multiplicity 8)
Al (0.000, 0.299, 0.500) (multiplicity 4)

M_tot	0.00	μB/f.u.
calculated total energy	-101.3	eV/cell
formation enthalpy at 0 K	-0.22	eV per atom

***

Record 3
The following is a DFT calculation (PBE-GGA) of a relaxed structure of Li3Ac3RuO8.

Cell: 7.2773 7.2773 14.6939 Å, 90.00 90.00 120.00°
Space group R-3m (No. 166, hexagonal axes)
Inequivalent atoms, fractional coordinates:
Li (0.0000, 0.5000, 0.0000) (multiplicity 9)
Ac (0.0000, 0.5000, 0.5000) (multiplicity 9)
Ru (0.0000, 0.0000, 0.5000) (multiplicity 3)
O (0.0000, 0.0000, 0.2471) (multiplicity 6)
O (0.0536, 0.5268, 0.2447) (multiplicity 18)

M_tot	2.00	μB/f.u.
calculated total energy	-299.5	eV/cell
energy relative to the elements, uncorrected	-211.11	kJ per mole of atoms

***

Record 4
The following is a DFT calculation (PBE-GGA) of a relaxed structure of CsUSeS.

Cell: 4.1575 4.1575 25.1836 Å, 90.00 90.00 120.00°
Space group R3m (No. 160, hexagonal axes)
Inequivalent atoms, fractional coordinates:
Cs (0.0000, 0.0000, 0.0000) (multiplicity 3)
U (0.0000, 0.0000, 0.1752) (multiplicity 3)
Se (0.0000, 0.0000, 0.7757) (multiplicity 3)
S (0.0000, 0.0000, 0.5661) (multiplicity 3)

M_tot	3.00	μB/f.u.
calculated total energy	-74.3	eV/cell
energy relative to the elements, uncorrected	-120.87	kJ per mole of atoms

***

Record 5
The following is a DFT calculation (PBE-GGA) of a relaxed structure of Y3Be2Co7.

Cell: 4.9858 4.9858 23.1310 Å, 90.00 90.00 120.00°
Space group R-3m (No. 166, hexagonal axes)
Inequivalent atoms, fractional coordinates:
Y (0.0000, 0.0000, 0.0000) (multiplicity 3)
Y (0.0000, 0.0000, 0.1404) (multiplicity 6)
Be (0.0000, 0.0000, 0.3336) (multiplicity 6)
Co (0.0000, 0.0000, 0.5000) (multiplicity 3)
Co (0.0006, 0.5003, 0.0769) (multiplicity 18)

M_tot	5.25	μB/f.u.
calculated total energy	-237.9	eV/cell
formation enthalpy at 0 K	-0.23	eV per atom

***

Record 6
The following is a DFT calculation (PBE-GGA) of a relaxed structure of Ac5La2PrHo.

Cell: 8.480 8.480 20.853 Å, 90.00 90.00 90.00°
Space group I4/mcm (No. 140)
Inequivalent atoms, fractional coordinates:
Ac (0.000, 0.000, 0.000) (multiplicity 4)
Ac (0.229, 0.271, 0.139) (multiplicity 16)
La (0.122, 0.378, 0.500) (multiplicity 8)
Pr (0.000, 0.000, 0.250) (multiplicity 4)
Ho (0.000, 0.500, 0.250) (multiplicity 4)

M_tot	0.00	μB/f.u.
calculated total energy	-149.7	eV/cell
formation enthalpy at 0 K	0.26	eV per atom

***

Record 7
The following is a DFT calculation (PBE-GGA) of a relaxed structure of Dy2PtAu.

Cell: 4.0807 4.0807 20.9886 Å, 90.00 90.00 120.00°
Space group R3m (No. 160, hexagonal axes)
Inequivalent atoms, fractional coordinates:
Dy (0.0000, 0.0000, 0.0000) (multiplicity 3)
Dy (0.0000, 0.0000, 0.1826) (multiplicity 3)
Pt (0.0000, 0.0000, 0.5905) (multiplicity 3)
Au (0.0000, 0.0000, 0.4256) (multiplicity 3)

M_tot	0.00	μB/f.u.
calculated total energy	-67.3	eV/cell
formation enthalpy at 0 K	-0.98	eV per atom

***

Record 8
The following is a DFT calculation (PBE-GGA) of a relaxed structure of Sm2SnBi.

Cell: 4.606 4.435 11.928 Å, 90.00 90.00 90.00°
Space group Amm2 (No. 38)
Inequivalent atoms, fractional coordinates:
Sm (0.000, 0.000, 0.000) (multiplicity 2)
Sm (0.500, 0.000, 0.258) (multiplicity 2)
Sn (0.500, 0.000, 0.521) (multiplicity 2)
Bi (0.000, 0.000, 0.729) (multiplicity 2)

M_tot	0.00	μB/f.u.
calculated total energy	-40.6	eV/cell
formation enthalpy at 0 K	-0.75	eV per atom

***

Record 9
The following is a DFT calculation (PBE-GGA) of a relaxed structure of SrCaIr4.

Cell: 7.672 7.672 7.672 Å, 90.00 90.00 90.00°
Space group F-43m (No. 216)
Inequivalent atoms, fractional coordinates:
Sr (0.000, 0.000, 0.000) (multiplicity 4)
Ca (0.250, 0.250, 0.750) (multiplicity 4)
Ir (0.125, 0.125, 0.375) (multiplicity 16)

M_tot	0.00	μB/f.u.
calculated total energy	-164.9	eV/cell
formation enthalpy at 0 K	-0.35	eV per atom

***

Record 10
The following is a DFT calculation (PBE-GGA) of a relaxed structure of HfRhBr2.

Cell: 6.178 6.178 10.462 Å, 90.00 90.00 90.00°
Space group I-42d (No. 122)
Inequivalent atoms, fractional coordinates:
Hf (0.000, 0.000, 0.000) (multiplicity 4)
Rh (0.000, 0.000, 0.500) (multiplicity 4)
Br (0.237, 0.250, 0.625) (multiplicity 8)

M_tot	0.55	μB/f.u.
calculated total energy	-77.2	eV/cell
energy relative to the elements, uncorrected	32.30	kJ per mole of atoms

***

Record 11
The following is a DFT calculation (PBE-GGA) of a relaxed structure of InHgPb2Se5.

Cell: 4.107 19.394 12.830 Å, 90.00 90.00 90.00°
Space group Cmc2_1 (No. 36)
Inequivalent atoms, fractional coordinates:
In (0.000, 0.076, 0.000) (multiplicity 4)
Hg (0.000, 0.263, 0.612) (multiplicity 4)
Pb (0.000, 0.382, 0.863) (multiplicity 4)
Pb (0.000, 0.409, 0.199) (multiplicity 4)
Se (0.000, 0.005, 0.830) (multiplicity 4)
Se (0.000, 0.123, 0.541) (multiplicity 4)
Se (0.000, 0.211, 0.967) (multiplicity 4)
Se (0.000, 0.239, 0.260) (multiplicity 4)
Se (0.000, 0.445, 0.624) (multiplicity 4)

M_tot	0.00	μB/f.u.
calculated total energy	-123.7	eV/cell
energy relative to the elements, uncorrected	-32.59	kJ per mole of atoms

***

Record 12
The following is a DFT calculation (PBE-GGA) of a relaxed structure of CeGaS.

Cell: 3.951 3.951 8.400 Å, 90.00 90.00 90.00°
Space group P4/nmm (No. 129, origin choice 2)
Inequivalent atoms, fractional coordinates:
Ce (0.250, 0.250, 0.188) (multiplicity 2)
Ga (0.250, 0.750, 0.500) (multiplicity 2)
S (0.250, 0.250, 0.848) (multiplicity 2)

M_tot	0.57	μB/f.u.
calculated total energy	-33.7	eV/cell
energy relative to the elements, uncorrected	-120.73	kJ per mole of atoms